This record from Alexandria describes a crystal of Ba2LaAu relaxed with PBEsol. The functional is meta-GGA SCAN.

The size of the total moment comes out at 0.059 μB/f.u. As for the density of states at the Fermi level: 4.25 states/eV/cell. The energy relative to the lowest polymorph listed for this composition comes out at 43 meV/atom.

extended XYZ file:
```
4
Lattice="4.386 0.000 0.000 2.193 3.798 0.000 2.193 1.266 10.592" Properties=species:S:1:pos:R:3 pbc="T T T"
Ba 6.578 3.798 7.677
Ba 6.578 3.798 0.883
Au 2.193 1.266 2.898
La 4.386 2.532 4.430
```